Crystalline Rb2LaBeI6 at its relaxed geometry. Source: Alexandria via LeMat-Bulk, functional PBE-GGA.

Results
* ΔE_f (raw): -1.0093 eV per atom
* SG: No. 225
* total magnetic moment: 0.0998 μB per atom
* raw total energy: -3.00 eV per atom
* DOS(E_F): 0.3 states/eV/f.u.

Lattice parameters (Å, degrees): 8.5536 8.5536 8.5528 60.00 60.00 90.00
Closest atoms and distances in Å follow each position.
Fractional positions:
I 0.2620 0.2620 0.4759  1 Be 2.88, 1 La 3.17
I 0.7380 0.7380 0.5241  1 Be 2.88, 1 La 3.17
I 0.2619 0.2619 0.0000  1 Be 2.88, 1 La 3.17
I 0.7381 0.7381 0.0000  1 Be 2.88, 1 La 3.17
I 0.7381 0.2619 0.0000  1 Be 2.88, 1 La 3.17
I 0.2619 0.7381 0.0000  1 Be 2.88, 1 La 3.17
Be 0.5000 0.5000 0.0000  6 I 2.88
Rb 0.7500 0.2500 0.5000  12 I 4.28
Rb 0.2500 0.7500 0.5000  12 I 4.28
La 0.0000 0.0000 0.0000  6 I 3.17

***

Crystalline YP2Pd5 at its relaxed geometry. Source: Alexandria via LeMat-Bulk, functional PBE-GGA.

Results
* SG: No. 71
* total magnetic moment: 0.0000 μB per atom
* energy of formation: -0.730 eV per atom
* raw total energy: -6.14 eV per atom
* DOS(E_F): 3.2 states/eV/f.u.

Lattice parameters (Å, degrees): 4.0564 6.1624 6.1624 69.74 70.78 70.78
Closest atoms and distances in Å follow each position.
Fractional positions:
Y 0.0000 0.0000 0.0000  4 P 3.06, 8 Pd 3.26
P 0.7471 0.7529 0.7529  3 Pd 2.29-2.34
P 0.2529 0.2471 0.2471  3 Pd 2.29-2.34
Pd 0.0000 0.5000 0.5000  2 P 2.34
Pd 0.6531 0.5459 0.1480  1 P 2.29
Pd 0.3469 0.4541 0.8520  1 P 2.29
Pd 0.3469 0.8520 0.4541  1 P 2.29
Pd 0.6531 0.1480 0.5459  1 P 2.29

***

Crystalline TlGe2Pd2 at its relaxed geometry. Source: Alexandria via LeMat-Bulk, functional PBE-GGA.

Results
* SG: No. 127
* total magnetic moment: 0.0000 μB per atom
* energy above the lowest structure with this stoichiometry: 0.110 eV per atom
* energy of formation: -0.128 eV per atom
* raw total energy: -4.53 eV per atom
* DOS(E_F): 1.7 states/eV/f.u.

Lattice parameters (Å, degrees): 7.9721 7.9721 2.9249 90.00 90.00 90.00
Closest atoms and distances in Å follow each position.
Fractional positions:
Tl 0.0000 0.0000 0.0000  2 Tl 2.92, 4 Ge 3.15
Tl 0.5000 0.5000 0.0000  2 Tl 2.92, 4 Ge 3.15
Ge 0.3741 0.8741 0.0000  6 Pd 2.75-2.79, 3 Ge 2.84-2.92
Ge 0.8741 0.6259 0.0000  6 Pd 2.75-2.79, 3 Ge 2.84-2.92
Ge 0.6259 0.1259 0.0000  6 Pd 2.75-2.79, 3 Ge 2.84-2.92
Ge 0.1259 0.3741 0.0000  6 Pd 2.75-2.79, 3 Ge 2.84-2.92
Pd 0.1635 0.6635 0.5000  6 Ge 2.75-2.79, 2 Pd 2.92
Pd 0.6635 0.8365 0.5000  6 Ge 2.75-2.79, 2 Pd 2.92
Pd 0.8365 0.3365 0.5000  6 Ge 2.75-2.79, 2 Pd 2.92
Pd 0.3365 0.1635 0.5000  6 Ge 2.75-2.79, 2 Pd 2.92

***

Crystalline TaNbGa at its relaxed geometry. Source: Alexandria via LeMat-Bulk, functional PBE-GGA.

Results
* SG: No. 139
* total magnetic moment: 0.0000 μB per atom
* energy above the lowest structure with this stoichiometry: 0.000 eV per atom
* energy of formation: -0.195 eV per atom
* raw total energy: -8.51 eV per atom
* DOS(E_F): 1.9 states/eV/f.u.

Lattice parameters (Å, degrees): 3.8042 3.8043 7.7912 104.13 104.13 90.00
Closest atoms and distances in Å follow each position.
Fractional positions:
Ta 0.5000 0.0000 0.0000  4 Ta 2.69, 4 Ga 2.79
Ta 0.0000 0.5000 0.0000  4 Ta 2.69, 4 Ga 2.79
Nb 0.6764 0.6764 0.3528  5 Ga 2.69-2.74
Nb 0.3236 0.3236 0.6472  5 Ga 2.69-2.74
Ga 0.1400 0.1400 0.2799  5 Nb 2.69-2.74, 4 Ta 2.79
Ga 0.8600 0.8600 0.7201  5 Nb 2.69-2.74, 4 Ta 2.79

***

Crystalline Pm3Tm4Cd at its relaxed geometry. Source: Alexandria via LeMat-Bulk, functional PBE-GGA.

Results
* SG: No. 123
* total magnetic moment: 0.0000 μB per atom
* energy of formation: -0.066 eV per atom
* raw total energy: -4.20 eV per atom
* DOS(E_F): 9.2 states/eV/f.u.

Lattice parameters (Å, degrees): 3.5742 3.5742 19.0811 90.00 90.00 90.00
Closest atoms and distances in Å follow each position.
Fractional positions:
Cd 0.5000 0.5000 0.0000  8 Tm 3.23, 4 Cd 3.57
Tm 0.0000 0.0000 0.8944  4 Cd 3.23, 4 Pm 3.55, 4 Tm 3.57
Tm 0.0000 0.0000 0.1056  4 Cd 3.23, 4 Pm 3.55, 4 Tm 3.57
Tm 0.0000 0.0000 0.3682  8 Pm 3.56-3.57, 4 Tm 3.57
Tm 0.0000 0.0000 0.6318  8 Pm 3.56-3.57, 4 Tm 3.57
Pm 0.5000 0.5000 0.2366  8 Tm 3.55-3.56, 4 Pm 3.57
Pm 0.5000 0.5000 0.5000  8 Tm 3.57, 4 Pm 3.57
Pm 0.5000 0.5000 0.7634  8 Tm 3.55-3.56, 4 Pm 3.57

***

Crystalline Cs3KAu3 at its relaxed geometry. Source: Alexandria via LeMat-Bulk, functional PBE-GGA.

Results
* SG: No. 12
* total magnetic moment: 0.0018 μB per atom
* energy above the lowest structure with this stoichiometry: 0.000 eV per atom
* energy of formation: -0.264 eV per atom
* raw total energy: -2.19 eV per atom
* DOS(E_F): 2.2 states/eV/f.u.

Lattice parameters (Å, degrees): 8.9110 8.9110 8.4962 89.69 89.69 94.88
Closest atoms and distances in Å follow each position.
Fractional positions:
Cs 0.6917 0.6917 0.3895  5 Au 3.73-3.82
Cs 0.1711 0.8289 0.5000  6 Au 3.52-3.65
Cs 0.8289 0.1711 0.5000  6 Au 3.52-3.65
Cs 0.2501 0.7499 0.0000  4 Au 3.61-4.00
Cs 0.7499 0.2501 0.0000  4 Au 3.61-4.00
Cs 0.3083 0.3083 0.6105  5 Au 3.73-3.82
K 0.7640 0.7640 0.8797  4 Au 3.35-3.40
K 0.2360 0.2360 0.1203  4 Au 3.35-3.40
Au 0.9593 0.9593 0.1664  1 Au 2.99
Au 0.9599 0.5190 0.6739  1 Au 3.06, 1 K 3.40
Au 0.5190 0.9599 0.6739  1 Au 3.06, 1 K 3.40
Au 0.0401 0.4810 0.3261  1 Au 3.06, 1 K 3.40
Au 0.4810 0.0401 0.3261  1 Au 3.06, 1 K 3.40
Au 0.0407 0.0407 0.8336  1 Au 2.99

***

Crystalline Pu6C3N2O at its relaxed geometry. Source: Alexandria via LeMat-Bulk, functional PBE-GGA.

Results
* ΔE_f (raw): -0.5059 eV per atom
* SG: No. 12
* total magnetic moment: 0.7641 μB per atom
* raw total energy: -11.78 eV per atom
* DOS(E_F): 22.3 states/eV/f.u.

Lattice parameters (Å, degrees): 3.3178 6.9383 7.3686 95.92 103.01 90.00
Closest atoms and distances in Å follow each position.
Fractional positions:
Pu 0.3044 0.9539 0.6089  2 N 2.35, 3 C 2.37-2.56, 2 Pu 2.41
Pu 0.6944 0.5453 0.3888  2 C 2.37, 3 N 2.42-2.58, 2 Pu 2.43
Pu 0.6956 0.0461 0.3911  2 N 2.35, 3 C 2.37-2.56, 2 Pu 2.41
Pu 0.0013 0.2500 0.0027  1 N 2.20, 3 C 2.26-2.40, 2 O 2.40
Pu 0.9987 0.7500 0.9973  1 N 2.20, 3 C 2.26-2.40, 2 O 2.40
Pu 0.3056 0.4547 0.6112  2 C 2.37, 3 N 2.42-2.58, 2 Pu 2.43
C 0.5000 0.5000 0.0000  4 Pu 2.40
C 0.8435 0.2318 0.6870  4 Pu 2.26-2.37
C 0.1565 0.7682 0.3130  4 Pu 2.26-2.37
N 0.8451 0.7371 0.6902  4 Pu 2.20-2.42
N 0.1549 0.2629 0.3098  4 Pu 2.20-2.42
O 0.5000 0.0000 0.0000  4 Pu 2.40

***

Crystalline Sc8Fe2Ru at its relaxed geometry. Source: Alexandria via LeMat-Bulk, functional PBE-GGA.

Results
* SG: No. 12
* total magnetic moment: 0.1492 μB per atom
* energy of formation: -0.059 eV per atom
* raw total energy: -7.05 eV per atom
* DOS(E_F): 15.0 states/eV/f.u.

Lattice parameters (Å, degrees): 6.4849 7.3812 5.9041 75.37 123.31 90.00
Closest atoms and distances in Å follow each position.
Fractional positions:
Sc 0.7182 0.2710 0.9452  1 Ru 2.54, 2 Fe 2.71-2.74
Sc 0.2270 0.2710 0.9452  1 Ru 2.54, 2 Fe 2.71-2.74
Sc 0.2818 0.7290 0.0548  1 Ru 2.54, 2 Fe 2.71-2.74
Sc 0.7068 0.3780 0.4136  1 Fe 2.51
Sc 0.7730 0.7290 0.0548  1 Ru 2.54, 2 Fe 2.71-2.74
Sc 0.2692 0.0618 0.5383  1 Fe 2.60, 1 Ru 2.83
Sc 0.7308 0.9382 0.4617  1 Fe 2.60, 1 Ru 2.83
Sc 0.2932 0.6220 0.5864  1 Fe 2.51
Fe 0.1282 0.4216 0.2564  1 Fe 2.44, 4 Sc 2.51-2.71
Fe 0.8718 0.5784 0.7436  1 Fe 2.44, 4 Sc 2.51-2.71
Ru 0.0000 0.0000 0.0000  6 Sc 2.54-2.83

***

Crystalline MnCdAg2Cl6 at its relaxed geometry. Source: Alexandria via LeMat-Bulk, functional PBE-GGA.

Results
* ΔE_f (raw): -0.7975 eV per atom
* SG: No. 146
* total magnetic moment: 0.4999 μB per atom
* raw total energy: -3.48 eV per atom
* DOS(E_F): 0.0 states/eV/f.u.

Lattice parameters (Å, degrees): 6.7810 6.7804 7.1205 89.99 118.45 120.00
Closest atoms and distances in Å follow each position.
Fractional positions:
Mn 0.9916 0.4953 0.4728  6 Cl 2.52-2.58
Cd 0.9923 0.9957 0.9739  6 Cl 2.64-2.71
Ag 0.5622 0.7805 0.3286  3 Cl 2.62
Ag 0.5624 0.2807 0.8289  3 Cl 2.64
Cl 0.4728 0.8647 0.6945  1 Mn 2.52, 1 Ag 2.64, 1 Cd 2.71
Cl 0.5004 0.1205 0.2050  1 Mn 2.58, 1 Ag 2.62, 1 Cd 2.64
Cl 0.8402 0.7185 0.2049  1 Mn 2.58, 1 Ag 2.62, 1 Cd 2.64
Cl 0.0984 0.3787 0.2050  1 Mn 2.58, 1 Ag 2.62, 1 Cd 2.64
Cl 0.8439 0.6072 0.6944  1 Mn 2.52, 1 Ag 2.64, 1 Cd 2.71
Cl 0.1015 0.2359 0.6945  1 Mn 2.52, 1 Ag 2.64, 1 Cd 2.71

***

Crystalline Cs2CNCl6 at its relaxed geometry. Source: Alexandria via LeMat-Bulk, functional PBE-GGA.

Results
* ΔE_f (raw): 0.0299 eV per atom
* SG: No. 139
* total magnetic moment: 0.3000 μB per atom
* raw total energy: -3.00 eV per atom
* DOS(E_F): 0.0 states/eV/f.u.

Lattice parameters (Å, degrees): 7.2750 7.2750 7.5656 61.26 61.26 90.00
Closest atoms and distances in Å follow each position.
Fractional positions:
Cs 0.7500 0.2500 0.5000  12 Cl 3.70-3.83
Cs 0.2500 0.7500 0.5000  12 Cl 3.70-3.83
C 0.5000 0.5000 0.0000  4 Cl 1.96
N 0.0000 0.0000 0.0000  2 Cl 2.10
Cl 0.1897 0.1897 0.6206  1 N 2.10
Cl 0.8103 0.8103 0.3794  1 N 2.10
Cl 0.3093 0.3093 0.0000  1 C 1.96
Cl 0.6907 0.6907 0.0000  1 C 1.96
Cl 0.6907 0.3093 0.0000  1 C 1.96
Cl 0.3093 0.6907 0.0000  1 C 1.96

***

Crystalline Nd3GeTeBr at its relaxed geometry. Source: Alexandria via LeMat-Bulk, functional PBE-GGA.

Results
* ΔE_f (raw): -1.1060 eV per atom
* SG: No. 11
* total magnetic moment: 0.2262 μB per atom
* raw total energy: -5.06 eV per atom
* DOS(E_F): 2.1 states/eV/f.u.

Lattice parameters (Å, degrees): 4.2978 9.0149 10.4859 91.15 90.00 90.00
Closest atoms and distances in Å follow each position.
Fractional positions:
Nd 0.7500 0.8596 0.1359  2 Ge 3.01, 1 Br 3.04, 3 Te 3.20-3.24
Nd 0.2500 0.1404 0.8641  2 Ge 3.01, 1 Br 3.04, 3 Te 3.20-3.24
Nd 0.2500 0.6460 0.4162  1 Ge 2.87, 2 Br 2.94
Nd 0.7500 0.3540 0.5838  1 Ge 2.87, 2 Br 2.94
Nd 0.7500 0.3918 0.1422  3 Ge 2.99-3.02, 2 Te 3.23
Nd 0.2500 0.6082 0.8578  3 Ge 2.99-3.02, 2 Te 3.23
Ge 0.2500 0.6267 0.1427  6 Nd 2.87-3.02
Ge 0.7500 0.3733 0.8573  6 Nd 2.87-3.02
Te 0.2500 0.1265 0.1685  5 Nd 3.20-3.24
Te 0.7500 0.8735 0.8315  5 Nd 3.20-3.24
Br 0.2500 0.1317 0.5744  3 Nd 2.94-3.04
Br 0.7500 0.8683 0.4256  3 Nd 2.94-3.04

***

Crystalline Cu2AgI8 at its relaxed geometry. Source: Alexandria via LeMat-Bulk, functional PBE-GGA.

Results
* ΔE_f (raw): -0.0265 eV per atom
* SG: No. 12
* total magnetic moment: 0.0000 μB per atom
* raw total energy: -2.16 eV per atom
* DOS(E_F): 10.2 states/eV/f.u.

Lattice parameters (Å, degrees): 6.9431 8.1446 8.1446 76.05 82.41 82.41
Closest atoms and distances in Å follow each position.
Fractional positions:
Cu 0.6791 0.7806 0.7806  4 I 2.51-2.67
Cu 0.3209 0.2194 0.2194  4 I 2.51-2.67
Ag 0.0000 0.0000 0.0000  4 I 2.79
I 0.1994 0.2894 0.9251  1 Cu 2.56, 1 Ag 2.79
I 0.8006 0.0749 0.7106  1 Cu 2.56, 1 Ag 2.79
I 0.3518 0.7229 0.7229  1 Cu 2.51
I 0.6482 0.2771 0.2771  1 Cu 2.51
I 0.1994 0.9251 0.2894  1 Cu 2.56, 1 Ag 2.79
I 0.8006 0.7106 0.0749  1 Cu 2.56, 1 Ag 2.79
I 0.8131 0.5728 0.5728  1 Cu 2.67, 1 I 2.93
I 0.1869 0.4272 0.4272  1 Cu 2.67, 1 I 2.93

***

Which of these has the lowest raw total energy? Pu6C3N2O